Entry 1:
MnMoIr2I after structural relaxation, computed with PBE.

## Properties
Symmetry: P4/mmm (123)
Energy relative to the elements, uncorrected (eV per atom): 2.06

Lattice parameters (Å, degrees): 4.8689 4.6657 4.8689 90.00 90.00 90.00
Each line ends with the local moment (μB).
Positions (direct):
I: 0.0000 0.0000 0.0000  -0.03
Mo: 0.5000 0.5000 0.5000  3.00
Ir: 0.0000 0.0000 0.5000  0.10
Ir: 0.5000 0.0000 0.0000  0.06
Mn: 0.0000 0.5000 0.0000  3.37

=====

Entry 2:
Ta2SbTe after structural relaxation, computed with PBE.

## Properties
Symmetry: R-3m (166)
Energy relative to the elements, uncorrected (eV per atom): 0.35

Lattice parameters (Å, degrees): 9.0546 9.0546 9.0546 20.87 20.87 20.87
Positions (direct):
Sb: 0.7500 0.7500 0.7500
Ta: 0.9986 0.9986 0.9986
Ta: 0.5014 0.5014 0.5014
Te: 0.2500 0.2500 0.2500

=====

Entry 3:
ErPd4Au5 after structural relaxation, computed with PBE.

## Properties
Symmetry: Pmmn (59)
Calculated formation energy (eV/atom): -0.246

Lattice parameters (Å, degrees): 4.9312 7.8110 9.8008 90.00 90.00 90.00
Positions (direct):
Er: 0.9432 0.0000 0.0000
Er: 0.0568 0.5000 0.5000
Pd: 0.7322 0.0000 0.6482
Pd: 0.4569 0.8094 0.0000
Pd: 0.4569 0.1906 0.0000
Pd: 0.7322 0.0000 0.3518
Pd: 0.2678 0.5000 0.1482
Pd: 0.5431 0.6906 0.5000
Pd: 0.5431 0.3094 0.5000
Pd: 0.2678 0.5000 0.8518
Au: 0.2456 0.8234 0.7400
Au: 0.2456 0.1766 0.7400
Au: 0.7841 0.5000 0.0000
Au: 0.2456 0.8234 0.2600
Au: 0.2456 0.1766 0.2600
Au: 0.7544 0.6766 0.2400
Au: 0.7544 0.3234 0.2400
Au: 0.2159 0.0000 0.5000
Au: 0.7544 0.3234 0.7600
Au: 0.7544 0.6766 0.7600

=====

Entry 4:
MgIr2Rh after structural relaxation, computed with PBE.

## Properties
Symmetry: F-43m (216)
Calculated formation energy (eV/atom): 0.064

Lattice parameters (Å, degrees): 4.4022 4.4022 4.4020 60.00 60.00 60.00
Each line ends with the local moment (μB).
Positions (direct):
Mg: 0.7500 0.7500 0.7501  0.00
Ir: 0.0000 0.0000 0.0000  0.59
Ir: 0.2500 0.2500 0.2500  0.60
Rh: 0.5000 0.5000 0.4999  0.55

=====

Entry 5:
CeYPu after structural relaxation, computed with PBE.

## Properties
Symmetry: I4mm (107)
Calculated formation energy (eV/atom): 0.122

Lattice parameters (Å, degrees): 3.4648 3.4648 7.5300 103.30 103.30 90.00
Each line ends with the local moment (μB).
Positions (direct):
Y: 0.3319 0.3319 0.6639  0.11
Ce: 0.0124 0.0124 0.0247  0.21
Pu: 0.6557 0.6557 0.3114  -5.36

=====

Entry 6:
LaVPb2 after structural relaxation, computed with PBE.

## Properties
Symmetry: I-42d (122)
Calculated formation energy (eV/atom): 0.313

Lattice parameters (Å, degrees): 4.8959 4.8959 10.9308 77.06 77.06 90.00
Each line ends with the local moment (μB).
Positions (direct):
Pb: 0.5670 0.1250 0.2500  -0.04
Pb: 0.1830 0.6250 0.2500  -0.04
Pb: 0.3750 0.4330 0.7500  -0.04
Pb: 0.8750 0.8170 0.7500  -0.04
La: 0.0000 0.0000 0.0000  0.19
La: 0.7500 0.2500 0.5000  0.19
V: 0.5000 0.5000 0.0000  2.77
V: 0.2500 0.7500 0.5000  2.77

=====

Entry 7:
CePr2Te after structural relaxation, computed with PBE.

## Properties
Symmetry: R3m (160)
Energy relative to the elements, uncorrected (eV per atom): -0.47

Lattice parameters (Å, degrees): 4.0068 4.0068 10.3531 78.84 78.84 60.00
Each line ends with the local moment (μB).
Positions (direct):
Ce: 0.4995 0.4995 0.5016  1.08
Pr: 0.0722 0.0722 0.7833  0.10
Pr: 0.2613 0.2613 0.2161  0.06
Te: 0.6670 0.6670 0.9991  0.00

=====

Entry 8:
Pu5ZnRu4 after structural relaxation, computed with PBE.

## Properties
Symmetry: P4/mmm (123)
Calculated formation energy (eV/atom): 0.134

Lattice parameters (Å, degrees): 3.2195 3.2195 18.7476 90.00 90.00 90.00
Each line ends with the local moment (μB).
Positions (direct):
Pu: 0.5000 0.5000 0.1172  5.32
Pu: 0.5000 0.5000 0.3079  -0.02
Pu: 0.5000 0.5000 0.5000  -5.13
Pu: 0.5000 0.5000 0.6921  -0.02
Pu: 0.5000 0.5000 0.8828  5.32
Zn: 0.0000 0.0000 0.0000  0.04
Ru: 0.0000 0.0000 0.2229  -0.18
Ru: 0.0000 0.0000 0.3905  0.20
Ru: 0.0000 0.0000 0.6095  0.20
Ru: 0.0000 0.0000 0.7771  -0.18

=====

Entry 9:
Tb2Nd4ErTh after structural relaxation, computed with PBE.

## Properties
Symmetry: P2/m (10)
Calculated formation energy (eV/atom): 0.138

Lattice parameters (Å, degrees): 6.0502 6.0479 9.4911 50.46 90.00 90.00
Positions (direct):
Tb: 0.0000 0.0000 0.0000
Tb: 0.5000 0.0000 0.5000
Nd: 0.0000 0.7467 0.7530
Nd: 0.0000 0.2533 0.2470
Nd: 0.5000 0.7520 0.2475
Nd: 0.5000 0.2480 0.7525
Er: 0.0000 0.5000 0.5000
Th: 0.5000 0.5000 0.0000

=====

Entry 10:
Li4WAu after structural relaxation, computed with PBE.

## Properties
Symmetry: F-43m (216)
Calculated formation energy (eV/atom): 0.419

Lattice parameters (Å, degrees): 4.9241 4.9241 4.9241 60.00 60.00 60.00
Each line ends with the local moment (μB).
Positions (direct):
Li: 0.8750 0.3750 0.3750  0.01
Li: 0.3750 0.3750 0.8750  0.01
Li: 0.3750 0.8750 0.3750  0.01
Li: 0.3750 0.3750 0.3750  0.01
W: 0.7500 0.7500 0.7500  1.92
Au: 0.0000 0.0000 0.0000  0.08

=====

Entry 11:
Nd3AuI7 after structural relaxation, computed with PBE.

## Properties
Symmetry: P3m1 (156)
Energy relative to the elements, uncorrected (eV per atom): -1.19

Lattice parameters (Å, degrees): 7.4907 8.8721 8.8721 120.00 90.00 90.00
Positions (direct):
Nd: 0.7771 0.4976 0.5024
Nd: 0.7771 0.4976 0.9952
Nd: 0.7771 0.0048 0.5024
Au: 0.5607 0.3333 0.6667
I: 0.0252 0.1690 0.8310
I: 0.0252 0.1690 0.3379
I: 0.0325 0.6667 0.3333
I: 0.5383 0.8342 0.1658
I: 0.5383 0.3317 0.1658
I: 0.5383 0.8342 0.6683
I: 0.0252 0.6621 0.8310

=====

Entry 12:
CaCuHg2 after structural relaxation, computed with PBE.

## Properties
Symmetry: P4mm (99)
Calculated formation energy (eV/atom): -0.138

Lattice parameters (Å, degrees): 3.6902 3.6892 6.7066 90.00 90.00 90.00
Positions (direct):
Ca: 0.0000 0.0000 0.5124
Hg: 0.0000 0.0000 0.9660
Hg: 0.5000 0.5000 0.2362
Cu: 0.5000 0.5000 0.7854